w.
# Dy5Te2Pb2

An optimized crystal structure of Dy5Te2Pb2 (PBE-GGA, the Alexandria database).

Structure (POSCAR):
```
Dy5Te2Pb2
1.0
-3.6276 2.4668 -6.9373
-2.8393 -7.5395 -1.1962
-4.9730 5.5466 4.5728
Te Dy Pb
4 10 4
Direct
0.0000 0.2007 0.4015
0.0000 0.7993 0.5985
0.5000 0.7007 0.4015
0.5000 0.2993 0.5985
0.0000 0.0000 0.0000
0.5000 0.5000 0.0000
0.8387 0.7999 0.2732
0.8387 0.5267 0.7268
0.6613 0.2999 0.2732
0.3387 0.9733 0.2732
0.3387 0.7001 0.7268
0.1613 0.2001 0.7268
0.1613 0.4733 0.2732
0.6613 0.0267 0.7268
0.6404 0.8582 0.0000
0.8596 0.3582 0.0000
0.3596 0.1418 0.0000
0.1404 0.6418 0.0000
```

Results
Space group: No. 64
Crystal system: orthorhombic

x.
# Dy5Te2Pb2

An optimized crystal structure of Dy5Te2Pb2 (PBE-GGA, the Alexandria database).

Structure (POSCAR):
```
Dy5Te2Pb2
1.0
7.7671 0.0000 0.0000
0.0000 8.2076 0.0000
-3.8836 -4.1038 8.6722
Te Dy Pb
4 10 4
Direct
0.5000 0.4684 0.0000
0.2909 0.4180 0.5000
0.7091 0.9180 0.5000
0.0000 0.9684 0.0000
0.1687 0.1818 0.8895
0.2898 0.0043 0.3094
0.4804 0.1949 0.6906
0.9251 0.2553 0.5000
0.7102 0.6949 0.6906
0.8313 0.2923 0.1105
0.5196 0.5043 0.3094
0.2208 0.6818 0.8895
0.0749 0.7553 0.5000
0.7792 0.7923 0.1105
0.4576 0.9225 0.8241
0.5424 0.0984 0.1759
0.1334 0.5984 0.1759
0.8666 0.4225 0.8241
```

Results
Space group: No. 46
Crystal system: orthorhombic

Of them, the most stable is w and the least stable is x.

w.
# Dy2ThPb

An optimized crystal structure of Dy2ThPb (PBE-GGA, the Alexandria database).

Structure (POSCAR):
```
Dy2ThPb
1.0
4.7654 0.0000 0.0000
0.0000 4.9582 0.0000
0.0000 0.0000 4.9582
Dy Th Pb
2 1 1
Direct
0.0000 0.5000 0.0000
0.0000 0.0000 0.5000
0.5000 0.5000 0.5000
0.5000 0.0000 0.0000
```

Results
Space group: No. 123
Crystal system: tetragonal

x.
# Dy2ThPb

An optimized crystal structure of Dy2ThPb (PBE-GGA, the Alexandria database).

Structure (POSCAR):
```
Dy2ThPb
1.0
-0.0985 -3.1768 1.7849
3.6285 0.0786 0.3401
-0.8309 4.4313 7.8410
Dy Th Pb
2 1 1
Direct
0.0000 0.0000 0.7625
0.0000 0.0000 0.2375
0.5000 0.5000 0.5000
0.5000 0.5000 0.0000
```

Results
Space group: No. 123
Crystal system: tetragonal

Of them, the most stable is w and the least stable is x.

w.
# Dy2ThPb

An optimized crystal structure of Dy2ThPb (PBE-GGA, the Alexandria database).

Structure (POSCAR):
```
Dy2ThPb
1.0
3.5566 0.0000 0.0000
1.7783 3.0801 0.0000
1.7783 1.0267 11.9280
Pb Th Dy
1 1 2
Direct
0.0000 0.0000 0.0000
0.5000 0.5000 0.5000
0.0888 0.0888 0.7335
0.9112 0.9112 0.2666
```

Results
Space group: No. 166
Crystal system: trigonal

x.
# Dy2ThPb

An optimized crystal structure of Dy2ThPb (PBE-GGA, the Alexandria database).

Structure (POSCAR):
```
Dy2ThPb
1.0
3.5769 -0.0006 -0.0014
1.7879 3.0980 -0.0014
1.7824 1.0290 11.0241
Pb Th Dy
1 1 2
Direct
0.6667 0.6667 0.0002
0.5000 0.5000 0.5002
0.2536 0.2536 0.2389
0.0797 0.0797 0.7607
```

Results
Space group: No. 8
Crystal system: monoclinic

Of them, the most stable is x and the least stable is w.